Here is a relaxed La12Rh3N5 crystal from the Alexandria database. Energies are from PBE-GGA.

As for the energy relative to the elements, uncorrected: -830 meV per atom. As for the crystal system: cubic. Its total moment is 0.006 μB per cell.

The structure belongs to space group Ia-3d (No. 230); the cell edges are 16.009, 16.009 and 16.009 Å and the angles 90.00°, 90.00° and 90.00°. Symmetry generates all atoms from La at (0.031, 0.054, 0.650), Rh at (0.000, 0.250, 0.125), N at (0.000, 0.000, 0.000) and N at (0.000, 0.250, 0.375).